Entry 1:
VASP calculation (PBE) on a relaxed structure of AlRe2Se.

Values from the calculation:
uncorrected energy	-7.91	eV/atom
SG	R3m, No. 160
formation energy (no corrections)	0.12	eV/atom

Cell lengths 8.267, 8.267, 8.267 Å; angles 20.87, 20.87, 20.87 degrees
Fractional coordinates of all 4 atoms:
Al1 0.000 0.000 0.000
Re1 0.252 0.252 0.252
Re2 0.500 0.500 0.500
Se1 0.755 0.755 0.755


Entry 2:
VASP calculation (PBE) on a relaxed structure of AlRe2Se.

Values from the calculation:
uncorrected energy	-7.94	eV/atom
SG	P4mm, No. 99
formation energy (no corrections)	0.09	eV/atom

Cell lengths 2.959, 2.959, 7.612 Å; angles 90.00, 90.00, 90.00 degrees
Fractional coordinates of all 4 atoms:
Al1 0.000 0.000 0.000
Re1 0.000 0.000 0.437
Re2 0.500 0.500 0.211
Se1 0.500 0.500 0.653


Entry 3:
VASP calculation (PBE) on a relaxed structure of AlRe2Se.

Values from the calculation:
uncorrected energy	-7.63	eV/atom
SG	Fm-3m, No. 225
formation energy (no corrections)	0.40	eV/atom

Cell lengths 4.361, 4.361, 4.361 Å; angles 60.00, 60.00, 60.00 degrees
Fractional coordinates of all 4 atoms:
Al1 0.000 0.000 0.000
Re1 0.250 0.250 0.250
Re2 0.750 0.750 0.750
Se1 0.500 0.500 0.500


Entry 4:
VASP calculation (PBE) on a relaxed structure of Al3ReSe.

Values from the calculation:
uncorrected energy	-4.90	eV/atom
SG	Pm-3m, No. 221
formation energy (no corrections)	0.53	eV/atom

Cell lengths 4.818, 4.818, 4.818 Å; angles 90.00, 90.00, 90.00 degrees
Fractional coordinates of all 5 atoms:
Al1 0.000 0.000 0.500
Al2 0.000 0.500 0.000
Al3 0.500 0.000 0.000
Re1 0.000 0.000 0.000
Se1 0.500 0.500 0.500


Entry 5:
VASP calculation (PBE) on a relaxed structure of AlRe2Se.

Values from the calculation:
uncorrected energy	-7.48	eV/atom
SG	Cmmm, No. 65
formation energy (no corrections)	0.55	eV/atom

Cell lengths 2.795, 2.795, 8.954 Å; angles 90.00, 90.00, 116.48 degrees
Fractional coordinates of all 4 atoms:
Al1 0.000 0.000 0.000
Re1 0.500 0.500 0.239
Re2 0.500 0.500 0.761
Se1 0.000 0.000 0.500


Entry 6:
VASP calculation (PBE) on a relaxed structure of AlRe2Se.

Values from the calculation:
uncorrected energy	-7.56	eV/atom
SG	P2/m, No. 10
formation energy (no corrections)	0.47	eV/atom

Cell lengths 3.672, 4.469, 4.838 Å; angles 90.00, 105.18, 90.00 degrees
Fractional coordinates of all 4 atoms:
Al1 0.000 0.000 0.000
Re1 0.330 0.500 0.171
Re2 0.670 0.500 0.829
Se1 0.500 0.000 0.500


So what do the calculations give for energy relative to the lowest polymorph listed for this composition? Going down the list: 0.032, 0.000, 0.314, 0.000, 0.464, 0.386 eV/atom.
So what do the calculations give for volume? Going down the list: 62.78, 66.65, 58.63, 111.88, 62.61, 76.64 Å³ per cell.